Computed, not measured: a relaxed structure of TlOsPb2 at the PBE level of DFT.

Output
DOS(E_F) (states/eV/f.u.): 3.52
Magnetization (Bohr magnetons per cell): 0.0
Offset from the most stable computed form (kJ/mol of formula units): 182.0
Volume (Å³ per atom): 24.1
Energy of formation from the pure elements (meV/atom): 942

Geometry as CIF:
```
data_TlOsPb2
_cell_length_a 6.2077
_cell_length_b 8.6440
_cell_length_c 3.6012
_cell_angle_alpha 90.00
_cell_angle_beta 93.35
_cell_angle_gamma 90.00
_symmetry_space_group_name_H-M 'C 1 2/m 1'
_symmetry_Int_Tables_number 12
loop_
_symmetry_equiv_pos_as_xyz
'x,y,z'
'-x,-y,-z'
'-x,y,-z'
'x,-y,z'
'x+1/2,y+1/2,z'
'-x+1/2,-y+1/2,-z'
'-x+1/2,y+1/2,-z'
'x+1/2,-y+1/2,z'
loop_
_atom_site_label
_atom_site_type_symbol
_atom_site_fract_x
_atom_site_fract_y
_atom_site_fract_z
_atom_site_occupancy
Tl1 Tl 0.0000 0.0000 0.0000 1
Os1 Os 0.0000 0.5000 0.0000 1
Pb1 Pb 0.2500 0.2500 0.5000 1
```